# 1
Crystalline ScPaMnGa at its relaxed geometry. Source: the Alexandria database, functional PBE-GGA.

Properties
* magnetic moment: 0.00 μB/atom
* crystal system: cubic
* energy of formation from the pure elements: -58.0 meV per atom
* raw total energy: -113.02 eV per cell

Unit cell a=6.7205 b=6.7205 c=6.7205 alpha=90.00 beta=90.00 gamma=90.00
Space group F-43m (No. 216)
Unique sites:
Sc: 0.0000 0.0000 0.0000 (multiplicity 4)
Pa: 0.0000 0.0000 0.5000 (multiplicity 4)
Mn: 0.2500 0.2500 0.7500 (multiplicity 4)
Ga: 0.2500 0.2500 0.2500 (multiplicity 4)

=====

# 2
Crystalline CsSb2Se3 at its relaxed geometry. Source: the Alexandria database, functional PBE-GGA.

Properties
* magnetic moment: 0.00 μB/atom
* crystal system: orthorhombic
* formation energy (no corrections): -372.3 meV/atom
* ΔE to the lowest computed polymorph: 121.9 meV per atom
* raw total energy: -87.14 eV per cell

Unit cell a=11.7747 b=11.3104 c=6.9819 alpha=90.00 beta=90.00 gamma=90.00
Space group Cmcm (No. 63)
Unique sites:
Cs: 0.0000 0.1774 0.2500 (multiplicity 4)
Sb: 0.1837 0.5000 0.0000 (multiplicity 8)
Se: 0.0000 0.4204 0.7500 (multiplicity 4)
Se: 0.1952 0.1367 0.7500 (multiplicity 8)